# K2PuF6

Crystalline K2PuF6 at its relaxed geometry (PBE, Alexandria via LeMat-Bulk).

The structure in POSCAR format:
```
K2PuF6
1.0
6.4837 0.0000 -0.8071
0.0000 7.9915 0.0000
-2.0687 0.0000 7.1952
F K Pu
12 4 2
direct
0.1584 0.2009 0.4117
0.2313 0.0271 0.7979
0.7313 0.4729 0.2979
0.2559 0.3456 0.0523
0.8416 0.7991 0.5883
0.7559 0.1544 0.5523
0.2687 0.5271 0.7021
0.6584 0.2991 0.9117
0.7687 0.9729 0.2021
0.7441 0.6544 0.9477
0.3416 0.7009 0.0883
0.2441 0.8456 0.4477
0.6452 0.9712 0.8129
0.3548 0.0288 0.1871
0.1452 0.5288 0.3129
0.8548 0.4712 0.6871
0.5000 0.5000 0.0000
0.0000 0.0000 0.5000
```

## Properties
Crystal system = monoclinic
ρ = 4.03 g/cm³
Space-group type = P2_1/c (14)
ΔE_f (raw) = -3240 meV/atom

# Tb6Sm3Sc

Crystalline Tb6Sm3Sc at its relaxed geometry (PBE, Alexandria via LeMat-Bulk).

The structure in POSCAR format:
```
Tb6Sm3Sc
1.0
7.7741 0.0000 -3.1552
-0.7189 8.7160 -1.7712
-2.1637 0.1088 5.8237
Tb Sm Sc
6 3 1
direct
0.0657 0.6417 0.7615
0.3041 0.3583 0.2385
0.3831 0.1365 0.7662
0.9343 0.3583 0.2385
0.6169 0.8635 0.2338
0.6959 0.6417 0.7615
0.7819 0.2564 0.5637
0.0000 0.0000 0.0000
0.2181 0.7436 0.4363
0.5000 0.5000 0.0000
```

## Properties
Crystal system = monoclinic
ρ = 7.15 g/cm³
Formation energy from the elements = 284 meV per atom
Space-group type = C2/m (12)
Energy above the most stable polymorph in this dataset = 3.211 kcal/mol of atoms